P2RuRh | PBE-GGA | relaxed

Calculated values
**Energy of formation**: 0.35 eV/f.u.
**Relative energy among the computed polymorphs**: 0.479 eV per atom
**VASP energy**: -6.77 eV per atom
**DOS(E_F)**: 3.61 states/eV per cell
**Spin magnetization**: 0.0 μB per formula unit
**Volume**: 56 Å³ per cell

The structure in CIF format:
```
data_P2RuRh
_cell_length_a 2.961
_cell_length_b 3.783
_cell_length_c 5.041
_cell_angle_alpha 90.00
_cell_angle_beta 90.00
_cell_angle_gamma 90.00
_space_group_name_H-M_alt 'P m m m'
_space_group_IT_number 47
loop_
_space_group_symop_operation_xyz
'x,y,z'
'-x,-y,-z'
'-x,-y,z'
'x,y,-z'
'x,-y,-z'
'-x,y,z'
'-x,y,-z'
'x,-y,z'
loop_
_atom_site_label
_atom_site_fract_x
_atom_site_fract_y
_atom_site_fract_z
P1 0.000 0.000 0.000
P2 0.500 0.000 0.500
Ru1 0.000 0.500 0.500
Rh1 0.500 0.500 0.000
```

P2RuRh | PBE-GGA | relaxed

Calculated values
**Energy of formation**: -0.60 eV/f.u.
**Relative energy among the computed polymorphs**: 0.242 eV per atom
**VASP energy**: -7.01 eV per atom
**DOS(E_F)**: 4.66 states/eV per cell
**Spin magnetization**: 0.3 μB per formula unit
**Volume**: 53 Å³ per cell

The structure in CIF format:
```
data_P2RuRh
_cell_length_a 4.155
_cell_length_b 4.155
_cell_length_c 3.056
_cell_angle_alpha 90.00
_cell_angle_beta 90.00
_cell_angle_gamma 90.00
_space_group_name_H-M_alt 'P 4/m m m'
_space_group_IT_number 123
_space_group_name_Hall '-P 4 2'
loop_
_atom_site_label
_atom_site_fract_x
_atom_site_fract_y
_atom_site_fract_z
P1 0.000 0.500 0.000
Ru1 0.000 0.000 0.500
Rh1 0.500 0.500 0.500
```

PRu2Rh | PBE-GGA | relaxed

Calculated values
**Energy of formation**: -0.90 eV/f.u.
**VASP energy**: -8.05 eV per atom
**DOS(E_F)**: 7.71 states/eV per cell
**Spin magnetization**: 0.0 μB per formula unit
**Volume**: 108 Å³ per cell

The structure in CIF format:
```
data_PRu2Rh
_cell_length_a 2.822
_cell_length_b 4.299
_cell_length_c 8.933
_cell_angle_alpha 90.00
_cell_angle_beta 90.00
_cell_angle_gamma 90.00
_space_group_name_H-M_alt 'I m m m'
_space_group_IT_number 71
_space_group_name_Hall '-I 2 2'
loop_
_atom_site_label
_atom_site_fract_x
_atom_site_fract_y
_atom_site_fract_z
P1 0.000 0.000 0.000
Ru1 0.000 0.500 0.292
Rh1 0.000 0.000 0.500
```

P2RuRh | PBE-GGA | relaxed

Calculated values
**Energy of formation**: -1.29 eV/f.u.
**Relative energy among the computed polymorphs**: 0.070 eV per atom
**VASP energy**: -7.18 eV per atom
**DOS(E_F)**: 7.38 states/eV per cell
**Spin magnetization**: 0.0 μB per formula unit
**Volume**: 161 Å³ per cell

The structure in CIF format:
```
data_P2RuRh
_cell_length_a 2.9199
_cell_length_b 2.9199
_cell_length_c 21.8214
_cell_angle_alpha 90.00
_cell_angle_beta 90.00
_cell_angle_gamma 120.00
_space_group_name_H-M_alt 'R -3 m'
_space_group_IT_number 166
_space_group_name_Hall '-R 3 2"'
loop_
_atom_site_label
_atom_site_fract_x
_atom_site_fract_y
_atom_site_fract_z
P1 0.0000 0.0000 0.2484
Ru1 0.0000 0.0000 0.5000
Rh1 0.0000 0.0000 0.0000
```

PRu2Rh | PBE-GGA | relaxed

Calculated values
**Energy of formation**: -0.59 eV/f.u.
**VASP energy**: -7.97 eV per atom
**DOS(E_F)**: 2.79 states/eV per cell
**Spin magnetization**: 0.0 μB per formula unit
**Volume**: 55 Å³ per cell

The structure in CIF format:
```
data_PRu2Rh
_cell_length_a 2.868
_cell_length_b 3.808
_cell_length_c 5.167
_cell_angle_alpha 90.00
_cell_angle_beta 104.47
_cell_angle_gamma 90.00
_space_group_name_H-M_alt 'P 1 2/m 1'
_space_group_IT_number 10
loop_
_space_group_symop_operation_xyz
'x,y,z'
'-x,-y,-z'
'-x,y,-z'
'x,-y,z'
loop_
_atom_site_label
_atom_site_fract_x
_atom_site_fract_y
_atom_site_fract_z
P1 0.000 0.000 0.000
Ru1 0.364 0.500 0.233
Rh1 0.000 0.000 0.500
```

P2RuRh | PBE-GGA | relaxed

Calculated values
**Energy of formation**: 0.32 eV/f.u.
**Relative energy among the computed polymorphs**: 0.471 eV per atom
**VASP energy**: -6.78 eV per atom
**DOS(E_F)**: 7.53 states/eV per cell
**Spin magnetization**: 0.0 μB per formula unit
**Volume**: 114 Å³ per cell

The structure in CIF format:
```
data_P2RuRh
_cell_length_a 5.774
_cell_length_b 7.628
_cell_length_c 2.954
_cell_angle_alpha 90.00
_cell_angle_beta 119.16
_cell_angle_gamma 90.00
_space_group_name_H-M_alt 'C 1 2/m 1'
_space_group_IT_number 12
loop_
_space_group_symop_operation_xyz
'x,y,z'
'-x,-y,-z'
'-x,y,-z'
'x,-y,z'
'x+1/2,y+1/2,z'
'-x+1/2,-y+1/2,-z'
'-x+1/2,y+1/2,-z'
'x+1/2,-y+1/2,z'
loop_
_atom_site_label
_atom_site_fract_x
_atom_site_fract_y
_atom_site_fract_z
P1 0.250 0.250 0.000
Ru1 0.000 0.000 0.000
Rh1 0.000 0.500 0.000
```

P2RuRh | PBE-GGA | relaxed

Calculated values
**Energy of formation**: -0.57 eV/f.u.
**Relative energy among the computed polymorphs**: 0.249 eV per atom
**VASP energy**: -7.00 eV per atom
**DOS(E_F)**: 13.68 states/eV per cell
**Spin magnetization**: 0.9 μB per formula unit
**Volume**: 212 Å³ per cell

The structure in CIF format:
```
data_P2RuRh
_cell_length_a 5.961
_cell_length_b 5.961
_cell_length_c 5.961
_cell_angle_alpha 90.00
_cell_angle_beta 90.00
_cell_angle_gamma 90.00
_space_group_name_H-M_alt 'F m -3 m'
_space_group_IT_number 225
_space_group_name_Hall '-F 4 2 3'
loop_
_atom_site_label
_atom_site_fract_x
_atom_site_fract_y
_atom_site_fract_z
P1 0.250 0.250 0.250
Ru1 0.000 0.000 0.000
Rh1 0.000 0.000 0.500
```

PRu2Rh | PBE-GGA | relaxed

Calculated values
**Energy of formation**: 0.81 eV/f.u.
**VASP energy**: -7.63 eV per atom
**DOS(E_F)**: 6.30 states/eV per cell
**Spin magnetization**: 0.0 μB per formula unit
**Volume**: 55 Å³ per cell

The structure in CIF format:
```
data_PRu2Rh
_cell_length_a 2.763
_cell_length_b 4.459
_cell_length_c 4.492
_cell_angle_alpha 90.00
_cell_angle_beta 90.00
_cell_angle_gamma 90.00
_space_group_name_H-M_alt 'P m m m'
_space_group_IT_number 47
loop_
_space_group_symop_operation_xyz
'x,y,z'
'-x,-y,-z'
'-x,-y,z'
'x,y,-z'
'x,-y,-z'
'-x,y,z'
'-x,y,-z'
'x,-y,z'
loop_
_atom_site_label
_atom_site_fract_x
_atom_site_fract_y
_atom_site_fract_z
P1 0.000 0.000 0.000
Ru1 0.000 0.500 0.500
Ru2 0.500 0.000 0.500
Rh1 0.500 0.500 0.000
```

PRu2Rh | PBE-GGA | relaxed

Calculated values
**Energy of formation**: 0.85 eV/f.u.
**VASP energy**: -7.62 eV per atom
**DOS(E_F)**: 8.69 states/eV per cell
**Spin magnetization**: 0.0 μB per formula unit
**Volume**: 113 Å³ per cell

The structure in CIF format:
```
data_PRu2Rh
_cell_length_a 2.823
_cell_length_b 4.818
_cell_length_c 8.283
_cell_angle_alpha 90.00
_cell_angle_beta 90.00
_cell_angle_gamma 90.00
_space_group_name_H-M_alt 'C m m m'
_space_group_IT_number 65
_space_group_name_Hall '-C 2 2'
loop_
_atom_site_label
_atom_site_fract_x
_atom_site_fract_y
_atom_site_fract_z
P1 0.000 0.000 0.000
Ru1 0.000 0.500 0.218
Rh1 0.000 0.000 0.500
```

PRu2Rh | PBE-GGA | relaxed

Calculated values
**Energy of formation**: -0.64 eV/f.u.
**VASP energy**: -7.99 eV per atom
**DOS(E_F)**: 4.38 states/eV per cell
**Spin magnetization**: 0.0 μB per formula unit
**Volume**: 53 Å³ per cell

The structure in CIF format:
```
data_PRu2Rh
_cell_length_a 2.850
_cell_length_b 2.850
_cell_length_c 6.584
_cell_angle_alpha 90.00
_cell_angle_beta 90.00
_cell_angle_gamma 90.00
_space_group_name_H-M_alt 'P 4/m m m'
_space_group_IT_number 123
_space_group_name_Hall '-P 4 2'
loop_
_atom_site_label
_atom_site_fract_x
_atom_site_fract_y
_atom_site_fract_z
P1 0.000 0.000 0.000
Ru1 0.500 0.500 0.209
Rh1 0.000 0.000 0.500
```

PRu2Rh | PBE-GGA | relaxed

Calculated values
**Energy of formation**: 0.06 eV/f.u.
**VASP energy**: -7.81 eV per atom
**DOS(E_F)**: 4.47 states/eV per cell
**Spin magnetization**: 0.0 μB per formula unit
**Volume**: 108 Å³ per cell

The structure in CIF format:
```
data_PRu2Rh
_cell_length_a 3.878
_cell_length_b 3.878
_cell_length_c 7.149
_cell_angle_alpha 90.00
_cell_angle_beta 90.00
_cell_angle_gamma 90.00
_space_group_name_H-M_alt 'I 4/m m m'
_space_group_IT_number 139
_space_group_name_Hall '-I 4 2'
loop_
_atom_site_label
_atom_site_fract_x
_atom_site_fract_y
_atom_site_fract_z
P1 0.000 0.000 0.000
Ru1 0.000 0.500 0.250
Rh1 0.000 0.000 0.500
```

PRuRhS2 | PBE-GGA | relaxed

Calculated values
**Relative energy among the computed polymorphs**: 0.147 eV per atom
**Formation energy without anion corrections**: 5.03 eV/f.u.
**VASP energy**: -5.05 eV per atom
**DOS(E_F)**: 5.03 states/eV per cell
**Spin magnetization**: 2.4 μB per formula unit
**Volume**: 96 Å³ per cell

The structure in CIF format:
```
data_PRuRhS2
_cell_length_a 4.685
_cell_length_b 4.685
_cell_length_c 4.392
_cell_angle_alpha 90.00
_cell_angle_beta 90.00
_cell_angle_gamma 90.00
_space_group_name_H-M_alt 'P 4/m m m'
_space_group_IT_number 123
_space_group_name_Hall '-P 4 2'
loop_
_atom_site_label
_atom_site_fract_x
_atom_site_fract_y
_atom_site_fract_z
P1 0.000 0.000 0.000
Ru1 0.500 0.500 0.000
Rh1 0.000 0.000 0.500
S1 0.000 0.500 0.500
```

PRuRhS2 | PBE-GGA | relaxed

Calculated values
**Relative energy among the computed polymorphs**: 0.000 eV per atom
**Formation energy without anion corrections**: 4.30 eV/f.u.
**VASP energy**: -5.20 eV per atom
**DOS(E_F)**: 6.21 states/eV per cell
**Spin magnetization**: 0.8 μB per formula unit
**Volume**: 94 Å³ per cell

The structure in CIF format:
```
data_PRuRhS2
_cell_length_a 4.606
_cell_length_b 4.606
_cell_length_c 4.433
_cell_angle_alpha 90.00
_cell_angle_beta 90.00
_cell_angle_gamma 90.00
_space_group_name_H-M_alt 'P 4/m m m'
_space_group_IT_number 123
_space_group_name_Hall '-P 4 2'
loop_
_atom_site_label
_atom_site_fract_x
_atom_site_fract_y
_atom_site_fract_z
P1 0.000 0.000 0.000
Ru1 0.000 0.000 0.500
Rh1 0.500 0.500 0.000
S1 0.000 0.500 0.500
```

SiPRu2Rh | PBE-GGA | relaxed

Calculated values
**Formation energy without anion corrections**: 7.55 eV/f.u.
**VASP energy**: -5.84 eV per atom
**DOS(E_F)**: 6.15 states/eV per cell
**Spin magnetization**: 0.0 μB per formula unit
**Volume**: 98 Å³ per cell

The structure in CIF format:
```
data_SiPRu2Rh
_cell_length_a 4.727
_cell_length_b 4.727
_cell_length_c 4.369
_cell_angle_alpha 90.00
_cell_angle_beta 90.00
_cell_angle_gamma 90.00
_space_group_name_H-M_alt 'P 4/m m m'
_space_group_IT_number 123
_space_group_name_Hall '-P 4 2'
loop_
_atom_site_label
_atom_site_fract_x
_atom_site_fract_y
_atom_site_fract_z
Si1 0.000 0.000 0.000
P1 0.500 0.500 0.000
Ru1 0.000 0.500 0.500
Rh1 0.000 0.000 0.500
```

SiPRuRh2 | PBE-GGA | relaxed

Calculated values
**Formation energy without anion corrections**: 1.63 eV/f.u.
**VASP energy**: -6.64 eV per atom
**DOS(E_F)**: 7.18 states/eV per cell
**Spin magnetization**: 0.0 μB per formula unit
**Volume**: 82 Å³ per cell

The structure in CIF format:
```
data_SiPRuRh2
_cell_length_a 4.346
_cell_length_b 4.346
_cell_length_c 4.364
_cell_angle_alpha 90.00
_cell_angle_beta 90.00
_cell_angle_gamma 90.00
_space_group_name_H-M_alt 'P 4/m m m'
_space_group_IT_number 123
_space_group_name_Hall '-P 4 2'
loop_
_atom_site_label
_atom_site_fract_x
_atom_site_fract_y
_atom_site_fract_z
Si1 0.000 0.000 0.000
P1 0.500 0.500 0.500
Ru1 0.500 0.500 0.000
Rh1 0.000 0.500 0.500
```

SmP2RuRh | PBE-GGA | relaxed

Calculated values
**Energy of formation**: -5.23 eV/f.u.
**VASP energy**: -7.48 eV per atom
**DOS(E_F)**: 3.44 states/eV per cell
**Spin magnetization**: 0.0 μB per formula unit
**Volume**: 160 Å³ per cell

The structure in CIF format:
```
data_SmP2RuRh
_cell_length_a 4.024
_cell_length_b 4.024
_cell_length_c 9.900
_cell_angle_alpha 90.00
_cell_angle_beta 90.00
_cell_angle_gamma 90.00
_space_group_name_H-M_alt 'I -4 m 2'
_space_group_IT_number 119
_space_group_name_Hall 'I -4 -2'
loop_
_atom_site_label
_atom_site_fract_x
_atom_site_fract_y
_atom_site_fract_z
Sm1 0.000 0.000 0.000
P1 0.000 0.000 0.381
Ru1 0.000 0.500 0.750
Rh1 0.000 0.500 0.250
```

Th2P3RuRh4 | PBE-GGA | relaxed

Calculated values
**Energy of formation**: -8.93 eV/f.u.
**VASP energy**: -7.87 eV per atom
**DOS(E_F)**: 7.06 states/eV per cell
**Spin magnetization**: 0.0 μB per formula unit
**Volume**: 171 Å³ per cell

The structure in CIF format:
```
data_Th2P3RuRh4
_cell_length_a 3.985
_cell_length_b 3.985
_cell_length_c 10.773
_cell_angle_alpha 90.00
_cell_angle_beta 90.00
_cell_angle_gamma 90.00
_space_group_name_H-M_alt 'P -4 m 2'
_space_group_IT_number 115
loop_
_space_group_symop_operation_xyz
'x,y,z'
'y,-x,-z'
'-x,-y,z'
'-y,x,-z'
'-x,y,z'
'-y,-x,-z'
'x,-y,z'
'y,x,-z'
loop_
_atom_site_label
_atom_site_fract_x
_atom_site_fract_y
_atom_site_fract_z
Th1 0.000 0.500 0.244
P1 0.000 0.000 0.000
P2 0.000 0.500 0.626
Ru1 0.500 0.500 0.000
Rh1 0.000 0.000 0.500
Rh2 0.000 0.500 0.839
Rh3 0.500 0.500 0.500
```

Th4P3RuRh12 | PBE-GGA | relaxed

Calculated values
**Energy of formation**: -9.83 eV/f.u.
**VASP energy**: -7.66 eV per atom
**DOS(E_F)**: 38.41 states/eV per cell
**Spin magnetization**: 0.0 μB per formula unit
**Volume**: 754 Å³ per cell

The structure in CIF format:
```
data_Th4P3RuRh12
_cell_length_a 9.103
_cell_length_b 9.103
_cell_length_c 9.103
_cell_angle_alpha 90.00
_cell_angle_beta 90.00
_cell_angle_gamma 90.00
_space_group_name_H-M_alt 'I m -3 m'
_space_group_IT_number 229
_space_group_name_Hall '-I 4 2 3'
loop_
_atom_site_label
_atom_site_fract_x
_atom_site_fract_y
_atom_site_fract_z
Th1 0.250 0.250 0.250
P1 0.000 0.000 0.500
Ru1 0.000 0.000 0.000
Rh1 0.000 0.000 0.265
Rh2 0.000 0.250 0.500
```

ThP2Ru2Rh | PBE-GGA | relaxed

Calculated values
**Energy of formation**: -0.71 eV/f.u.
**VASP energy**: -7.48 eV per atom
**DOS(E_F)**: 5.69 states/eV per cell
**Spin magnetization**: 0.0 μB per formula unit
**Volume**: 109 Å³ per cell

The structure in CIF format:
```
data_ThP2Ru2Rh
_cell_length_a 4.516
_cell_length_b 4.516
_cell_length_c 5.333
_cell_angle_alpha 90.00
_cell_angle_beta 90.00
_cell_angle_gamma 90.00
_space_group_name_H-M_alt 'P 4/m m m'
_space_group_IT_number 123
_space_group_name_Hall '-P 4 2'
loop_
_atom_site_label
_atom_site_fract_x
_atom_site_fract_y
_atom_site_fract_z
Th1 0.000 0.000 0.000
P1 0.000 0.500 0.500
Ru1 0.500 0.500 0.242
Rh1 0.000 0.000 0.500
```

ThP2RuRh5 | PBE-GGA | relaxed

Calculated values
**Energy of formation**: -2.23 eV/f.u.
**VASP energy**: -7.39 eV per atom
**DOS(E_F)**: 4.93 states/eV per cell
**Spin magnetization**: 1.5 μB per formula unit
**Volume**: 181 Å³ per cell

The structure in CIF format:
```
data_ThP2RuRh5
_cell_length_a 4.369
_cell_length_b 4.369
_cell_length_c 9.460
_cell_angle_alpha 90.00
_cell_angle_beta 90.00
_cell_angle_gamma 90.00
_space_group_name_H-M_alt 'P 4/m m m'
_space_group_IT_number 123
_space_group_name_Hall '-P 4 2'
loop_
_atom_site_label
_atom_site_fract_x
_atom_site_fract_y
_atom_site_fract_z
Th1 0.000 0.000 0.000
P1 0.500 0.500 0.266
Ru1 0.500 0.500 0.500
Rh1 0.000 0.500 0.213
Rh2 0.500 0.500 0.000
```